# 1
Material: Pm3Zr4
Method: DFT, GGA-PBE
State: optimized geometry

Cell and atoms, written as extended XYZ:
```
14
Lattice="9.024 0.000 0.000 -4.512 7.815 0.000 0.000 0.000 5.444" Properties=species:S:1:pos:R:3 pbc="T T T"
Pm -2.001 4.944 1.361
Pm 1.230 3.610 1.361
Pm 3.742 0.739 4.083
Pm 0.770 7.075 1.361
Pm 3.281 4.205 4.083
Pm 6.512 2.871 4.083
Zr -3.283 6.495 4.083
Zr 0.529 1.724 4.083
Zr 1.757 0.404 1.361
Zr 0.000 5.210 4.083
Zr 4.512 2.605 1.361
Zr 2.755 7.411 4.083
Zr 3.983 6.091 1.361
Zr 7.795 1.319 1.361
```

ΔE_f in eV/atom: 0.13
E above lowest polymorph in meV/atom: 17
Calculated total energy in eV/atom: -6.79
SG: P6_3/m, No. 176

# 2
Material: BaEr4Si5O17
Method: DFT, GGA-PBE
State: optimized geometry

Cell and atoms, written as extended XYZ:
```
54
Lattice="5.492 0.000 0.000 0.000 19.660 0.000 -1.957 0.000 6.547" Properties=species:S:1:pos:R:3 pbc="T T T"
Ba 0.695 4.915 2.066
Ba 2.840 14.745 4.481
Er 0.446 0.768 4.049
Er 0.446 9.062 4.049
Er 1.905 12.954 0.132
Er 1.905 16.536 0.132
Er 1.630 3.124 6.416
Er 1.630 6.706 6.416
Er 3.089 10.598 2.499
Er 3.089 18.892 2.499
Si -1.165 4.915 5.113
Si 0.901 1.208 0.632
Si 0.901 8.622 0.632
Si 0.297 12.489 3.244
Si 0.297 17.001 3.244
Si 3.238 2.659 3.303
Si 3.238 7.171 3.303
Si 2.634 11.038 5.915
Si 2.634 18.452 5.915
Si 4.700 14.745 1.434
O 0.000 0.000 0.000
O 0.000 9.830 0.000
O -1.106 3.593 4.120
O -1.106 6.237 4.120
O 0.001 2.547 0.755
O 0.001 7.283 0.755
O -0.458 11.054 3.414
O -0.458 18.436 3.414
O 0.584 14.745 0.562
O 0.184 4.915 6.030
O 0.622 13.250 4.630
O 0.622 16.240 4.630
O 0.210 1.441 6.154
O 0.210 8.389 6.154
O 1.461 0.684 2.073
O 1.461 9.146 2.073
O 1.639 12.383 2.304
O 1.639 17.107 2.304
O 1.896 2.553 4.244
O 1.896 7.277 4.244
O 2.074 10.514 4.474
O 2.074 18.976 4.474
O 3.325 11.271 0.393
O 3.325 18.219 0.393
O 2.913 3.420 1.917
O 2.913 6.410 1.917
O 3.351 14.745 0.518
O 2.951 4.915 5.985
O 3.993 1.224 3.134
O 3.993 8.606 3.134
O 3.534 12.377 5.793
O 3.534 17.113 5.793
O 4.641 13.423 2.427
O 4.641 16.067 2.427
```

Calculated total energy in eV/atom: -8.08
SG: P2_1/m, No. 11

# 3
Material: GdHoAg2Bi4
Method: DFT, GGA-PBE
State: optimized geometry

Cell and atoms, written as extended XYZ:
```
8
Lattice="4.529 0.000 0.000 0.000 4.529 0.000 0.000 0.000 10.286" Properties=species:S:1:pos:R:3 pbc="T T T"
Gd 0.000 0.000 0.000
Ho 2.265 2.265 5.104
Ag 0.000 2.265 7.682
Ag 2.265 0.000 7.682
Bi 0.000 0.000 5.728
Bi 0.000 2.265 2.565
Bi 2.265 0.000 2.565
Bi 2.265 2.265 9.643
```

Calculated total energy in eV/atom: -4.34
SG: P4mm, No. 99

# 4
Material: ErScAg2Sn2
Method: DFT, GGA-PBE
State: optimized geometry

Cell and atoms, written as extended XYZ:
```
6
Lattice="4.659 0.000 0.000 -2.330 4.035 0.000 0.000 0.000 7.138" Properties=species:S:1:pos:R:3 pbc="T T T"
Er 0.000 0.000 0.000
Sc 0.000 0.000 3.575
Ag 0.000 2.690 4.886
Ag 2.330 1.345 1.371
Sn 0.000 2.690 2.037
Sn 2.330 1.345 5.521
```

Calculated total energy in eV/atom: -4.61
SG: P3m1, No. 156

# 5
Material: ErGa2Pd3
Method: DFT, GGA-PBE
State: optimized geometry

Cell and atoms, written as extended XYZ:
```
12
Lattice="4.410 0.000 0.000 -2.205 3.819 0.000 0.000 0.000 12.320" Properties=species:S:1:pos:R:3 pbc="T T T"
Er 0.000 0.000 3.080
Er 0.000 0.000 9.240
Ga 0.000 2.546 1.062
Ga 0.000 2.546 5.098
Ga 2.205 1.273 7.222
Ga 2.205 1.273 11.258
Pd 0.000 0.000 0.000
Pd 0.000 0.000 6.160
Pd 0.000 2.546 7.725
Pd 0.000 2.546 10.755
Pd 2.205 1.273 1.565
Pd 2.205 1.273 4.595
```

Calculated total energy in eV/atom: -5.20
SG: P6_3/mmc, No. 194

# 6
Material: NaNbGa
Method: DFT, GGA-PBE
State: optimized geometry

Cell and atoms, written as extended XYZ:
```
3
Lattice="0.000 3.188 3.188 3.188 0.000 3.188 3.188 3.188 0.000" Properties=species:S:1:pos:R:3 pbc="T T T"
Na 0.000 0.000 0.000
Nb 3.188 3.188 3.188
Ga 1.594 1.594 1.594
```

E above lowest polymorph in meV/atom: 0
Calculated total energy in eV/atom: -4.03
SG: F-43m, No. 216

# 7
Material: AgOsO3
Method: DFT, GGA-PBE
State: optimized geometry

Cell and atoms, written as extended XYZ:
```
20
Lattice="5.268 0.000 0.000 0.000 8.902 0.000 0.000 0.000 5.685" Properties=species:S:1:pos:R:3 pbc="T T T"
Ag 0.000 0.000 0.000
Ag 0.000 4.451 0.000
Ag 2.634 0.000 2.842
Ag 2.634 4.451 2.842
Os 0.194 2.225 2.692
Os 2.440 6.676 5.534
Os 2.828 2.225 0.151
Os 5.074 6.676 2.993
O 0.739 0.793 3.615
O 0.739 3.658 3.615
O 1.009 2.225 0.896
O 1.625 6.676 3.738
O 1.895 5.244 0.773
O 1.895 8.109 0.773
O 3.373 0.793 4.912
O 3.373 3.658 4.912
O 3.643 2.225 1.946
O 4.259 6.676 4.789
O 4.529 5.244 2.069
O 4.529 8.109 2.069
```

Calculated total energy in eV/atom: -6.13
SG: Pnma, No. 62

# 8
Material: Ta2ReMo
Method: DFT, GGA-PBE
State: optimized geometry

Cell and atoms, written as extended XYZ:
```
4
Lattice="4.546 0.000 0.000 0.000 4.546 0.000 0.000 0.000 3.209" Properties=species:S:1:pos:R:3 pbc="T T T"
Ta 0.000 2.273 0.000
Ta 2.273 0.000 0.000
Re 0.000 0.000 1.605
Mo 2.273 2.273 1.605
```

ΔE_f in eV/atom: -0.33
E above lowest polymorph in meV/atom: 4
Calculated total energy in eV/atom: -12.08
SG: P4/mmm, No. 123

# 9
Material: DyZrSi2
Method: DFT, GGA-PBE
State: optimized geometry

Cell and atoms, written as extended XYZ:
```
8
Lattice="3.792 0.000 0.000 0.000 5.526 0.000 0.000 0.000 7.468" Properties=species:S:1:pos:R:3 pbc="T T T"
Dy 0.000 0.713 0.000
Dy 0.000 4.814 3.734
Zr 1.896 2.062 4.794
Zr 1.896 3.464 1.060
Si 0.000 2.152 2.707
Si 0.000 3.374 6.440
Si 1.896 0.688 2.126
Si 1.896 4.838 5.860
```

E above lowest polymorph in meV/atom: 24
Calculated total energy in eV/atom: -6.83
SG: Pmc2_1, No. 26

# 10
Material: HfScZnFe
Method: DFT, GGA-PBE
State: optimized geometry

Cell and atoms, written as extended XYZ:
```
4
Lattice="0.000 3.189 3.189 3.189 0.000 3.189 3.189 3.189 0.000" Properties=species:S:1:pos:R:3 pbc="T T T"
Hf 0.000 0.000 0.000
Sc 1.595 1.595 1.595
Zn 3.189 3.189 3.189
Fe 4.784 4.784 4.784
```

ΔE_f in eV/atom: 0.02
E above lowest polymorph in meV/atom: 0
Calculated total energy in eV/atom: -6.44
SG: F-43m, No. 216

# 11
Material: Ag5OsS4Cl2
Method: DFT, GGA-PBE
State: optimized geometry

Cell and atoms, written as extended XYZ:
```
12
Lattice="7.553 0.000 0.000 0.000 5.728 3.104 0.000 -5.728 3.104" Properties=species:S:1:pos:R:3 pbc="T T T"
Ag 0.000 0.000 0.000
Ag 2.147 -2.116 3.300
Ag 2.147 2.116 3.300
Ag 5.406 -2.116 3.300
Ag 5.406 2.116 3.300
Os 3.777 0.000 5.982
S 1.975 0.000 4.681
S 3.777 -1.811 1.056
S 3.777 1.811 1.056
S 5.578 0.000 4.681
Cl 0.000 -1.953 1.773
Cl 0.000 1.953 1.773
```

Calculated total energy in eV/atom: -3.94
SG: Amm2, No. 38

# 12
Material: ThAgP3
Method: DFT, GGA-PBE
State: optimized geometry

Cell and atoms, written as extended XYZ:
```
10
Lattice="-2.776 4.423 4.272 2.776 -4.423 4.272 2.776 4.423 -4.272" Properties=species:S:1:pos:R:3 pbc="T T T"
Th 0.000 2.211 0.276
Th 2.776 2.211 3.995
Ag 2.776 0.000 0.000
Ag 0.000 0.000 4.272
P 1.388 3.329 -2.136
P 1.388 -1.093 2.136
P 2.776 2.211 1.146
P 0.000 2.211 3.125
P -1.388 5.516 2.136
P 1.388 5.516 2.136
```

Calculated total energy in eV/atom: -5.64
SG: Imma, No. 74

Please write out number 9 again, unchanged.
Material: DyZrSi2
Method: DFT, GGA-PBE
State: optimized geometry

Cell and atoms, written as extended XYZ:
```
8
Lattice="3.792 0.000 0.000 0.000 5.526 0.000 0.000 0.000 7.468" Properties=species:S:1:pos:R:3 pbc="T T T"
Dy 0.000 0.713 0.000
Dy 0.000 4.814 3.734
Zr 1.896 2.062 4.794
Zr 1.896 3.464 1.060
Si 0.000 2.152 2.707
Si 0.000 3.374 6.440
Si 1.896 0.688 2.126
Si 1.896 4.838 5.860
```

E above lowest polymorph in meV/atom: 24
Calculated total energy in eV/atom: -6.83
SG: Pmc2_1, No. 26